A plane-wave DFT calculation with PBE+U was carried out for MnPSeO2 after structural relaxation.

## Properties
As for the space-group type: No. 123. The calculation puts the magnetic moment at 2.38 Bohr magnetons per cell. The calculation puts the calculated total energy at -5.478 eV/atom. The calculation puts the polymorph energy (0 for the lowest one) at 0 meV per atom.

Cell: 3.6520 3.6520 5.9654 Å, 90.00 90.00 90.00°
Closest atoms and distances in Å follow each position.
Atoms (fractional coordinates):
Mn 0.0000 0.0000 0.0000  4 O 1.83
P 0.0000 0.0000 0.5000  4 Se 2.58
Se 0.5000 0.5000 0.5000  4 P 2.58
O 0.0000 0.5000 0.0000  2 Mn 1.83
O 0.5000 0.0000 0.0000  2 Mn 1.83